Entry 1:
# La2ZrRe, optimized geometry, DFT PBE
data_La2ZrRe
_symmetry_space_group_name_H-M 'P 1'
_symmetry_Int_Tables_number 1
_cell_length_a 4.998
_cell_length_b 3.309
_cell_length_c 6.133
_cell_angle_alpha 74.88
_cell_angle_beta 90.00
_cell_angle_gamma 90.00
loop_
_symmetry_equiv_pos_as_xyz
'x,y,z'
loop_
_atom_site_label
_atom_site_type_symbol
_atom_site_fract_x
_atom_site_fract_y
_atom_site_fract_z
La1 La 0.000 0.437 0.480
La2 La 0.000 0.063 0.020
Re1 Re 0.500 0.250 0.250
Zr1 Zr 0.500 0.750 0.750
# * energy above the most stable polymorph in this dataset: 0.376 eV per atom
# * formation energy from the elements: 46.6 kJ per mole of atoms
# * N(E_F): 5.5 states/eV/cell



Entry 2:
# PuZnAg2, optimized geometry, DFT PBE
data_PuZnAg2
_symmetry_space_group_name_H-M 'P 1'
_symmetry_Int_Tables_number 1
_cell_length_a 3.070
_cell_length_b 3.070
_cell_length_c 8.210
_cell_angle_alpha 90.00
_cell_angle_beta 90.00
_cell_angle_gamma 90.00
loop_
_symmetry_equiv_pos_as_xyz
'x,y,z'
loop_
_atom_site_label
_atom_site_type_symbol
_atom_site_fract_x
_atom_site_fract_y
_atom_site_fract_z
Pu1 Pu 0.500 0.500 0.500
Ag1 Ag 0.000 0.000 0.793
Ag2 Ag 0.000 0.000 0.207
Zn1 Zn 0.500 0.500 0.000
# * formation energy from the elements: 0.2 kJ per mole of atoms
# * N(E_F): 6.6 states/eV/cell



Entry 3:
# RbBIO2, optimized geometry, DFT PBE
data_RbBIO2
_symmetry_space_group_name_H-M 'P 1'
_symmetry_Int_Tables_number 1
_cell_length_a 4.482
_cell_length_b 4.482
_cell_length_c 7.780
_cell_angle_alpha 90.00
_cell_angle_beta 90.00
_cell_angle_gamma 90.00
loop_
_symmetry_equiv_pos_as_xyz
'x,y,z'
loop_
_atom_site_label
_atom_site_type_symbol
_atom_site_fract_x
_atom_site_fract_y
_atom_site_fract_z
B1 B 0.500 0.500 0.500
Rb1 Rb 0.000 0.000 0.000
O1 O 0.500 0.000 0.000
O2 O 0.000 0.500 0.000
I1 I 0.000 0.000 0.500
# * energy above the most stable polymorph in this dataset: 0.963 eV per atom
# * uncorrected formation energy: 1.45 eV per atom
# * N(E_F): 3.9 states/eV/cell



Entry 4:
# Dy5Y2HoTm, optimized geometry, DFT PBE
data_Dy5Y2HoTm
_symmetry_space_group_name_H-M 'P 1'
_symmetry_Int_Tables_number 1
_cell_length_a 5.581
_cell_length_b 10.272
_cell_length_c 10.569
_cell_angle_alpha 90.00
_cell_angle_beta 90.00
_cell_angle_gamma 105.76
loop_
_symmetry_equiv_pos_as_xyz
'x,y,z'
loop_
_atom_site_label
_atom_site_type_symbol
_atom_site_fract_x
_atom_site_fract_y
_atom_site_fract_z
Dy1 Dy 0.718 0.435 0.807
Dy2 Dy 0.300 0.600 0.707
Dy3 Dy 0.981 0.962 0.524
Dy4 Dy 0.700 0.400 0.207
Dy5 Dy 0.480 0.960 0.740
Dy6 Dy 0.520 0.040 0.240
Dy7 Dy 0.609 0.219 0.522
Dy8 Dy 0.391 0.781 0.022
Dy9 Dy 0.019 0.038 0.024
Dy10 Dy 0.282 0.565 0.307
Y1 Y 0.886 0.773 0.818
Y2 Y 0.890 0.781 0.237
Y3 Y 0.110 0.219 0.737
Y4 Y 0.114 0.227 0.318
Tm1 Tm 0.412 0.824 0.460
Tm2 Tm 0.588 0.176 0.960
Ho1 Ho 0.201 0.401 0.010
Ho2 Ho 0.799 0.599 0.510
# * formation energy from the elements: 14.5 kJ per mole of atoms
# * N(E_F): 29.7 states/eV/cell